Computed, not measured: an optimized crystal structure of NdMnSbO at the GGA+U level of DFT. Values from VASP.

```
&SYSTEM
  ibrav = 0, nat = 8, ntyp = 4
/
ATOMIC_SPECIES
Nd 144.24 Nd.upf
Mn 54.94 Mn.upf
Sb 121.76 Sb.upf
O 16.00 O.upf
ATOMIC_POSITIONS crystal
Nd 0.250 0.250 0.112
Nd 0.750 0.750 0.888
Mn 0.250 0.750 0.500
Mn 0.750 0.250 0.500
Sb 0.250 0.250 0.691
Sb 0.750 0.750 0.309
O 0.250 0.750 0.000
O 0.750 0.250 0.000
CELL_PARAMETERS angstrom
4.254 0.000 0.000
0.000 4.254 0.000
0.000 0.000 9.741
```

Computed properties:
The space group is No. 129. The final energy comes out at -6.891 eV/atom. The spin magnetization comes out at 4.73 μB/f.u.